No. 1
First-principles (GGA-PBE) data for Ac3PrCd8 after structural relaxation, as listed in Alexandria.

Lattice parameters (Å, degrees): 6.188 6.188 10.682 73.16 73.16 60.00
Fractional positions:
Pr  0.875  0.875  0.376
Cd  0.687  0.687  0.938
Cd  0.938  0.938  0.684
Cd  0.441  0.938  0.684
Cd  0.436  0.436  0.191
Cd  0.436  0.936  0.191
Cd  0.938  0.441  0.684
Cd  0.936  0.436  0.191
Cd  0.188  0.188  0.436
Ac  0.999  0.999  0.003
Ac  0.501  0.501  0.498
Ac  0.375  0.375  0.874

Calculated values
Volume = 27.81 Å³ per atom
E = -2.34 eV/atom
ΔE to the lowest computed polymorph = 0 meV per atom

***

No. 2
First-principles (GGA-PBE) data for Ac6PrCd2 after structural relaxation, as listed in Alexandria.

Lattice parameters (Å, degrees): 4.071 7.235 12.935 75.41 80.95 73.66
Fractional positions:
Ac  0.681  0.515  0.122
Ac  0.027  0.278  0.668
Ac  0.973  0.722  0.332
Ac  0.314  0.782  0.591
Ac  0.319  0.485  0.878
Ac  0.686  0.218  0.409
Pr  0.000  0.000  0.000
Cd  0.645  0.902  0.809
Cd  0.355  0.098  0.191

Calculated values
Volume = 39.14 Å³ per atom
E = -3.59 eV/atom